Entry from Alexandria: a geometry-optimized AlOsO3 structure (PBE).

The structure in POSCAR format:
```
AlOsO3
1.0
3.615 0.000 0.000
0.000 3.615 0.000
0.000 0.000 3.615
Al Os O
1 1 3
Direct
0.000 0.000 0.000
0.500 0.500 0.500
0.000 0.000 0.500
0.000 0.500 0.000
0.500 0.000 0.000
```

- VASP energy (eV for the cell shown) = -33.21
- mass density (Mg/m³) = 9.32
- symmetry = Pm-3m
- uncorrected formation energy (kJ/mol of formula units) = -324